(1)
Entry from Alexandria: crystalline ThGaPRh6 at its relaxed geometry (PBE-GGA).

Cell: 6.1450 9.0379 7.8706 Å, 125.04 112.98 90.00°
Closest atoms and distances in Å follow each position.
Element x y z (fractional)
P (0.5000, 0.0000, 0.0000)  6 Rh 2.21-2.40
P (0.5000, 0.5000, 0.0000)  6 Rh 2.21-2.40
Ga (0.0000, 0.0000, 0.5000)  6 Rh 2.52-2.57
Ga (0.5000, 0.0000, 0.5000)  6 Rh 2.52-2.57
Rh (0.4292, 0.6792, 0.8583)  2 P 2.40
Rh (0.8979, 0.6392, 0.2597)  1 P 2.21
Rh (0.3618, 0.6392, 0.2597)  1 P 2.21
Rh (0.3618, 0.1205, 0.2597)  1 P 2.21
Rh (0.9258, 0.1758, 0.8516)  2 Ga 2.52, 4 Rh 2.68
Rh (0.6382, 0.3608, 0.7403)  1 P 2.21
Rh (0.6382, 0.8795, 0.7403)  1 P 2.21
Rh (0.1021, 0.3608, 0.7403)  1 P 2.21
Rh (0.0742, 0.8242, 0.1484)  2 Ga 2.52, 4 Rh 2.68
Rh (0.8979, 0.1205, 0.2597)  1 P 2.21
Rh (0.1021, 0.8795, 0.7403)  1 P 2.21
Rh (0.5708, 0.3208, 0.1417)  2 P 2.40
Th (0.8255, 0.5755, 0.6509)  6 Rh 2.79-2.88
Th (0.1745, 0.4245, 0.3491)  6 Rh 2.79-2.88

Results
The total magnetic moment comes out at 0.000 Bohr magnetons per cell. As for the energy: -7.0505 eV/atom. For the energy of formation, the calculation gives -0.3877 eV per atom. The symmetry is Imma (74).

(2)
Entry from Alexandria: crystalline Tb2PmTaO8 at its relaxed geometry (PBE-GGA).

Cell: 3.7862 5.4669 7.4715 Å, 90.00 90.02 90.01°
Closest atoms and distances in Å follow each position.
Element x y z (fractional)
O (0.0000, 0.2385, 0.7865)  1 Ta 2.06
O (0.5000, 0.7400, 0.5000)  2 Tb 2.29, 2 Pm 2.37
O (0.5001, 0.7876, 0.0000)  2 Ta 2.22, 5 O 2.32-2.48, 2 Tb 2.44
O (0.0001, 0.7615, 0.7865)  1 Ta 2.06
O (0.9999, 0.2385, 0.2135)  1 Ta 2.06
O (0.5000, 0.2600, 0.5000)  2 Tb 2.29, 2 Pm 2.37
O (0.4999, 0.2124, 0.0000)  2 Ta 2.22, 5 O 2.32-2.48, 2 Tb 2.44
O (0.0000, 0.7615, 0.2135)  1 Ta 2.06
Ta (0.0000, 0.0000, 0.0000)  8 O 2.06-2.22
Pm (0.0000, 0.0000, 0.5000)  8 O 2.37-2.51
Tb (0.4999, 0.5000, 0.2495)  8 O 2.29-2.44
Tb (0.5001, 0.5000, 0.7505)  8 O 2.29-2.44

Results
The total magnetic moment comes out at 1.814 Bohr magnetons per cell. As for the energy: -8.3482 eV/atom. The symmetry is Pmmm (47). The calculation puts the uncorrected formation energy at -2.887 eV per atom.

(3)
Entry from Alexandria: crystalline Cs3SmU3S8 at its relaxed geometry (PBE-GGA).

Cell: 8.1595 8.1595 9.4646 Å, 115.55 90.00 120.00°
Closest atoms and distances in Å follow each position.
Element x y z (fractional)
Cs (0.5000, 0.5000, 0.0000)  6 S 3.53-3.55
Cs (0.0000, 0.5000, 0.0000)  6 S 3.53-3.55
Cs (0.0000, 0.0000, 0.0000)  6 S 3.53-3.55
U (0.5000, 0.0000, 0.5000)  6 S 2.76-2.78
U (0.0000, 0.5000, 0.5000)  6 S 2.76-2.78
U (0.5000, 0.5000, 0.5000)  6 S 2.76-2.78
S (0.7197, 0.9498, 0.6798)  2 U 2.76, 1 Sm 2.82
S (0.2732, 0.5465, 0.3199)  3 U 2.78
S (0.2301, 0.9498, 0.6798)  2 U 2.76, 1 Sm 2.82
S (0.7699, 0.5397, 0.3202)  2 U 2.76, 1 Sm 2.82
S (0.2803, 0.0502, 0.3202)  2 U 2.76, 1 Sm 2.82
S (0.7268, 0.4535, 0.6801)  3 U 2.78
S (0.7699, 0.0502, 0.3202)  2 U 2.76, 1 Sm 2.82
S (0.2301, 0.4603, 0.6798)  2 U 2.76, 1 Sm 2.82
Sm (0.0000, 0.0000, 0.5000)  6 S 2.82

Results
The total magnetic moment comes out at 8.002 Bohr magnetons per cell. As for the energy: -6.4518 eV/atom. The symmetry is R-3m (166). The calculation puts the uncorrected formation energy at -1.508 eV per atom.

(4)
Entry from Alexandria: crystalline PdI4 at its relaxed geometry (PBE-GGA).

Cell: 9.7585 8.7255 8.7917 Å, 135.56 90.01 90.00°
Closest atoms and distances in Å follow each position.
Element x y z (fractional)
I (0.0000, 0.4235, 0.2888)  1 Pd 2.59
I (0.4999, 0.5955, 0.7754)  1 Pd 2.64
I (0.5000, 0.0765, 0.7112)  1 Pd 2.59
I (0.0000, 0.0955, 0.7754)  1 Pd 2.64
I (0.5001, 0.9235, 0.2888)  1 Pd 2.59
I (0.0001, 0.9045, 0.2246)  1 Pd 2.64
I (0.5000, 0.4045, 0.2246)  1 Pd 2.64
I (0.9999, 0.5765, 0.7112)  1 Pd 2.59
Pd (0.5000, 0.5000, 0.0000)  4 I 2.59-2.64
Pd (0.0000, 0.0000, 0.0000)  4 I 2.59-2.64

Results
The total magnetic moment comes out at 0.000 Bohr magnetons per cell. As for the energy: -2.3374 eV/atom. The symmetry is C2/m (12). The calculation puts the uncorrected formation energy at -0.059 eV per atom.

Repeat the fourth record exactly.
Entry from Alexandria: crystalline PdI4 at its relaxed geometry (PBE-GGA).

Cell: 9.7585 8.7255 8.7917 Å, 135.56 90.01 90.00°
Closest atoms and distances in Å follow each position.
Element x y z (fractional)
I (0.0000, 0.4235, 0.2888)  1 Pd 2.59
I (0.4999, 0.5955, 0.7754)  1 Pd 2.64
I (0.5000, 0.0765, 0.7112)  1 Pd 2.59
I (0.0000, 0.0955, 0.7754)  1 Pd 2.64
I (0.5001, 0.9235, 0.2888)  1 Pd 2.59
I (0.0001, 0.9045, 0.2246)  1 Pd 2.64
I (0.5000, 0.4045, 0.2246)  1 Pd 2.64
I (0.9999, 0.5765, 0.7112)  1 Pd 2.59
Pd (0.5000, 0.5000, 0.0000)  4 I 2.59-2.64
Pd (0.0000, 0.0000, 0.0000)  4 I 2.59-2.64

Results
The total magnetic moment comes out at 0.000 Bohr magnetons per cell. As for the energy: -2.3374 eV/atom. The symmetry is C2/m (12). The calculation puts the uncorrected formation energy at -0.059 eV per atom.

Look up the total magnetic moment of the second one.
1.814 Bohr magnetons per cell

Number 2 is which compound?
Tb2PmTaO8